Entry 1:
## ZrRuS2N (GGA-PBE)

Data for an optimized crystal structure of ZrRuS2N.

As for the uncorrected formation energy: 0.54 eV/atom. The calculation puts the electronic total energy at -6.34 eV/atom. Its density of states at the Fermi level is 5.46 states/eV per cell. The energy above the most stable polymorph in this dataset comes out at 0.590 eV per atom.

The structure belongs to space group P4/mmm (No. 123); the cell edges are 5.042, 5.042 and 4.065 Å and the angles 90.00°, 90.00° and 90.00°. Symmetry generates all atoms from Zr at (0.000, 0.000, 0.000), Ru at (0.500, 0.500, 0.500), S at (0.000, 0.500, 0.000) and N at (0.000, 0.000, 0.500).

***

Entry 2:
## TbLuHgGe (GGA-PBE)

Data for an optimized crystal structure of TbLuHgGe.

The calculation puts the electronic total energy at -4.04 eV/atom. Its density of states at the Fermi level is 12.64 states/eV per cell.

The structure belongs to space group F-43m (No. 216); the cell edges are 7.234, 7.234 and 7.234 Å and the angles 90.00°, 90.00° and 90.00°. Symmetry generates all atoms from Tb at (0.000, 0.000, 0.000), Lu at (0.000, 0.000, 0.500), Hg at (0.250, 0.250, 0.750) and Ge at (0.250, 0.250, 0.250).

***

Entry 3:
## LaB3Pb (GGA-PBE)

Data for an optimized crystal structure of LaB3Pb.

The calculation puts the electronic total energy at -3.73 eV/atom. Its density of states at the Fermi level is 2.24 states/eV per cell. The energy above the most stable polymorph in this dataset comes out at 0.392 eV per atom.

The structure belongs to space group Pm-3m (No. 221); the cell edges are 4.865, 4.865 and 4.865 Å and the angles 90.00°, 90.00° and 90.00°. Symmetry generates all atoms from La at (0.000, 0.000, 0.000), B at (0.000, 0.000, 0.500) and Pb at (0.500, 0.500, 0.500).

***

Entry 4:
## Pm3Nd3Dy8 (GGA-PBE)

Data for an optimized crystal structure of Pm3Nd3Dy8.

The calculation puts the electronic total energy at -4.56 eV/atom. Its density of states at the Fermi level is 42.64 states/eV per cell. The energy above the most stable polymorph in this dataset comes out at 0.004 eV per atom.

The structure belongs to space group Immm (No. 71); the cell edges are 5.696, 10.797 and 15.238 Å and the angles 90.00°, 90.00° and 90.00°. Symmetry generates all atoms from Pm at (0.000, 0.000, 0.000), Pm at (0.000, 0.500, 0.313), Nd at (0.000, 0.000, 0.500), Nd at (0.000, 0.303, 0.500), Dy at (0.000, 0.161, 0.280) and Dy at (0.000, 0.340, 0.103).

***

Entry 5:
## Nd6As2AuSe3 (GGA-PBE)

Data for an optimized crystal structure of Nd6As2AuSe3.

As for the uncorrected formation energy: -1.58 eV/atom. The calculation puts the electronic total energy at -5.88 eV/atom. Its density of states at the Fermi level is 9.60 states/eV per cell.

The structure belongs to space group C2/m (No. 12); the cell edges are 18.616, 4.239 and 8.580 Å and the angles 90.00°, 103.30° and 90.00°. Symmetry generates all atoms from Nd at (0.002, 0.000, 0.254), Nd at (0.169, 0.500, 0.092), Nd at (0.169, 0.500, 0.578), As at (0.166, 0.000, 0.334), Au at (0.000, 0.500, 0.000), Se at (0.000, 0.500, 0.500) and Se at (0.167, 0.000, 0.834).

***

Entry 6:
## TlAgS2 (GGA-PBE)

Data for an optimized crystal structure of TlAgS2.

As for the uncorrected formation energy: 0.35 eV/atom. The calculation puts the electronic total energy at -3.02 eV/atom. Its density of states at the Fermi level is 17.61 states/eV per cell.

The structure belongs to space group Fm-3m (No. 225); the cell edges are 6.895, 6.895 and 6.895 Å and the angles 90.00°, 90.00° and 90.00°. Symmetry generates all atoms from Tl at (0.000, 0.000, 0.000), Ag at (0.000, 0.000, 0.500) and S at (0.250, 0.250, 0.250).

***

Entry 7:
## Ho5HfN6 (GGA-PBE)

Data for an optimized crystal structure of Ho5HfN6.

As for the uncorrected formation energy: -1.79 eV/atom. The calculation puts the electronic total energy at -8.69 eV/atom. Its density of states at the Fermi level is 3.35 states/eV per cell.

The structure belongs to space group C2/m (No. 12); the cell edges are 5.891, 10.198 and 5.889 Å and the angles 90.00°, 109.49° and 90.00°. Symmetry generates all atoms from Ho at (0.000, 0.000, 0.000), Ho at (0.000, 0.167, 0.500), Ho at (0.000, 0.334, 0.000), Hf at (0.000, 0.500, 0.500), N at (0.238, 0.500, 0.259) and N at (0.239, 0.341, 0.741).

***

Entry 8:
## K3PrTe2O9 (GGA-PBE)

Data for an optimized crystal structure of K3PrTe2O9.

As for the uncorrected formation energy: -1.65 eV/atom. The calculation puts the electronic total energy at -5.58 eV/atom. Its density of states at the Fermi level is 5.21 states/eV per cell.

The structure belongs to space group P-3m1 (No. 164); the cell edges are 5.9141, 5.9141 and 7.3673 Å and the angles 90.00°, 90.00° and 120.00°. Symmetry generates all atoms from K at (0.0000, 0.0000, 0.0000), K at (0.3333, 0.6667, 0.6756), Pr at (0.0000, 0.0000, 0.5000), Te at (0.3333, 0.6667, 0.1620), O at (0.0000, 0.5000, 0.0000) and O at (0.1789, 0.3578, 0.3046).

***

Entry 9:
## La2AgGeOs (GGA-PBE)

Data for an optimized crystal structure of La2AgGeOs.

The calculation puts the electronic total energy at -5.50 eV/atom. Its density of states at the Fermi level is 3.17 states/eV per cell.

The structure belongs to space group P4/mmm (No. 123); the cell edges are 5.746, 5.746 and 4.532 Å and the angles 90.00°, 90.00° and 90.00°. Symmetry generates all atoms from La at (0.000, 0.500, 0.000), Ag at (0.000, 0.000, 0.500), Ge at (0.500, 0.500, 0.000) and Os at (0.500, 0.500, 0.500).

***

Entry 10:
## NiHgTe2 (GGA-PBE)

Data for an optimized crystal structure of NiHgTe2.

As for the uncorrected formation energy: 0.58 eV/atom. The calculation puts the electronic total energy at -2.51 eV/atom. Its density of states at the Fermi level is 18.72 states/eV per cell.

The structure belongs to space group F-43m (No. 216); the cell edges are 7.207, 7.207 and 7.207 Å and the angles 90.00°, 90.00° and 90.00°. Symmetry generates all atoms from Ni at (0.000, 0.000, 0.000), Hg at (0.250, 0.250, 0.250), Te at (0.000, 0.000, 0.500) and Te at (0.250, 0.250, 0.750).